# 1
Li2AlIrS4: optimized geometry, GGA-PBE.

The space group is No. 82. The uncorrected energy is -38.45 eV for the cell shown. The spin magnetization comes out at 0.01 μB per formula unit.

a = 6.8560 Å, b = 6.8560 Å, c = 6.8560 Å
α = 134.87°, β = 134.87°, γ = 65.73°
With the nearest neighbours (Å) after each atom.
Fractional coordinates of all 8 atoms:
S 0.6574 0.1426 0.0381  1 Al 2.27, 1 Ir 2.29, 2 Li 2.36-2.51
S 0.1045 0.6193 0.9619  1 Al 2.27, 1 Ir 2.29, 2 Li 2.36-2.51
Al 0.0000 0.0000 0.0000  4 S 2.27
Ir 0.7500 0.2500 0.5000  4 S 2.29
S 0.3807 0.3426 0.4852  1 Al 2.27, 1 Ir 2.29, 2 Li 2.36-2.51
Li 0.5000 0.5000 0.0000  4 S 2.36
Li 0.2500 0.7500 0.5000  4 S 2.51
S 0.8574 0.8955 0.5148  1 Al 2.27, 1 Ir 2.29, 2 Li 2.36-2.51

***

# 2
Pr2NdNi9: optimized geometry, GGA-PBE.

The space group is No. 166. The calculation puts the formation energy at -301 meV/atom. The uncorrected energy is -68.03 eV for the cell shown. The spin magnetization comes out at 0.20 μB per formula unit.

a = 8.7806 Å, b = 8.7806 Å, c = 8.7806 Å
α = 33.34°, β = 33.34°, γ = 33.34°
With the nearest neighbours (Å) after each atom.
Fractional coordinates of all 12 atoms:
Ni 0.5000 0.5000 0.5000  6 Ni 2.59
Pr 0.8614 0.8614 0.8614  12 Ni 2.90-3.19, 3 Pr 3.23
Pr 0.1386 0.1386 0.1386  12 Ni 2.90-3.19, 3 Pr 3.23
Ni 0.0819 0.5797 0.5797  7 Ni 2.46-2.59
Ni 0.5797 0.0819 0.5797  7 Ni 2.46-2.59
Ni 0.4203 0.4203 0.9181  7 Ni 2.46-2.59
Ni 0.6674 0.6674 0.6674  6 Ni 2.46-2.48
Nd 0.0000 0.0000 0.0000  18 Ni 2.91-3.22
Ni 0.5797 0.5797 0.0819  7 Ni 2.46-2.59
Ni 0.9181 0.4203 0.4203  7 Ni 2.46-2.59
Ni 0.4203 0.9181 0.4203  7 Ni 2.46-2.59
Ni 0.3326 0.3326 0.3326  6 Ni 2.46-2.48

***

# 3
ScCoSiPt: optimized geometry, GGA-PBE.

The space group is No. 216. The energy above the lowest structure with this stoichiometry is 276 meV/atom. The uncorrected energy is -26.39 eV for the cell shown. The spin magnetization comes out at 0.01 μB per formula unit.

a = 4.3990 Å, b = 4.3990 Å, c = 4.3990 Å
α = 60.00°, β = 60.00°, γ = 60.00°
With the nearest neighbours (Å) after each atom.
Fractional coordinates of all 4 atoms:
Co 0.7500 0.7500 0.7500  4 Si 2.69, 4 Pt 2.69
Si 0.0000 0.0000 0.0000  4 Co 2.69, 4 Sc 2.69
Sc 0.2500 0.2500 0.2500  4 Si 2.69, 4 Pt 2.69
Pt 0.5000 0.5000 0.5000  4 Sc 2.69, 4 Co 2.69

***

# 4
KTmAlS3: optimized geometry, GGA-PBE.

The space group is No. 62. The energy above the lowest structure with this stoichiometry is 29 meV/atom. The uncorrected energy is -119.25 eV for the cell shown. The spin magnetization comes out at 0.47 μB per formula unit.

a = 10.7895 Å, b = 4.1620 Å, c = 11.9738 Å
α = 90.00°, β = 90.00°, γ = 90.00°
With the nearest neighbours (Å) after each atom.
Fractional coordinates of all 24 atoms:
S 0.2064 0.7500 0.1990  2 Al 2.33
S 0.7936 0.2500 0.8010  2 Al 2.33
S 0.4405 0.2500 0.3229  1 Al 2.25
Al 0.7633 0.7500 0.7186  4 S 2.25-2.33
K 0.1652 0.2500 0.0005  7 S 3.19-3.33, 3 Al 3.45-3.51
S 0.2936 0.2500 0.6990  2 Al 2.33
K 0.6652 0.2500 0.4995  7 S 3.19-3.33, 3 Al 3.45-3.51
Al 0.2367 0.2500 0.2814  4 S 2.25-2.33
Tm 0.5317 0.2500 0.8345  7 S 2.81-3.04
S 0.7064 0.7500 0.3010  2 Al 2.33
Al 0.2633 0.7500 0.7814  4 S 2.25-2.33
Al 0.7367 0.2500 0.2186  4 S 2.25-2.33
S 0.8948 0.7500 0.5662  1 Al 2.31
S 0.9405 0.2500 0.1771  1 Al 2.25
Tm 0.0317 0.2500 0.6655  7 S 2.81-3.04
S 0.5595 0.7500 0.6771  1 Al 2.25
K 0.3348 0.7500 0.5005  7 S 3.19-3.33, 3 Al 3.45-3.51
S 0.1052 0.2500 0.4338  1 Al 2.31
Tm 0.4683 0.7500 0.1655  7 S 2.81-3.04
S 0.3948 0.7500 0.9338  1 Al 2.31
S 0.6052 0.2500 0.0662  1 Al 2.31
K 0.8348 0.7500 0.9995  7 S 3.19-3.33, 3 Al 3.45-3.51
Tm 0.9683 0.7500 0.3345  7 S 2.81-3.04
S 0.0595 0.7500 0.8229  1 Al 2.25

***

# 5
Gd2YIn3CuIr2: optimized geometry, GGA-PBE.

The space group is No. 38. The uncorrected energy is -51.02 eV for the cell shown. The spin magnetization comes out at 0.00 μB per formula unit.

a = 3.8934 Å, b = 7.5761 Å, c = 7.5761 Å
α = 120.14°, β = 90.00°, γ = 90.00°
With the nearest neighbours (Å) after each atom.
Fractional coordinates of all 9 atoms:
Ir 0.5000 0.6678 0.3330  3 In 2.88, 4 Gd 3.00, 2 Y 3.01
Cu 0.0000 0.9997 0.9997  6 In 2.73
In 0.5000 0.7461 0.7461  2 Cu 2.73, 2 Ir 2.88
Ir 0.5000 0.3330 0.6678  3 In 2.88, 4 Gd 3.00, 2 Y 3.01
Gd 0.0000 0.0002 0.5871  4 Ir 3.00, 1 Cu 3.13, 2 In 3.20
In 0.5000 0.2527 0.0014  2 Cu 2.73, 2 Ir 2.88
Gd 0.0000 0.5871 0.0002  4 Ir 3.00, 1 Cu 3.13, 2 In 3.20
Y 0.0000 0.4119 0.4119  4 Ir 3.01, 1 Cu 3.12, 6 In 3.19-3.34
In 0.5000 0.0014 0.2527  2 Cu 2.73, 2 Ir 2.88

***

# 6
DySi2TcNi: optimized geometry, GGA-PBE.

The space group is No. 119. The uncorrected energy is -35.17 eV for the cell shown. The spin magnetization comes out at 0.00 μB per formula unit.

a = 5.7268 Å, b = 5.7268 Å, c = 5.7268 Å
α = 138.82°, β = 138.82°, γ = 59.65°
With the nearest neighbours (Å) after each atom.
Fractional coordinates of all 5 atoms:
Si 0.6254 0.1254 0.5000  2 Tc 2.37, 2 Ni 2.37, 1 Si 2.48
Dy 0.2500 0.7500 0.5000  8 Si 3.11, 4 Tc 3.20, 4 Ni 3.20
Ni 0.5000 0.5000 0.0000  4 Si 2.37
Tc 0.0000 0.0000 0.0000  4 Si 2.37
Si 0.8746 0.3746 0.5000  2 Tc 2.37, 2 Ni 2.37, 1 Si 2.48

***

# 7
SmHfSc2Sb2: optimized geometry, GGA-PBE.

The space group is No. 107. The uncorrected energy is -39.40 eV for the cell shown. The spin magnetization comes out at 0.35 μB per formula unit.

a = 8.6220 Å, b = 8.6220 Å, c = 8.6220 Å
α = 151.47°, β = 151.47°, γ = 40.79°
With the nearest neighbours (Å) after each atom.
Fractional coordinates of all 6 atoms:
Sc 0.5046 0.0046 0.5000  4 Sb 2.97-3.07, 4 Sc 3.00
Sc 0.0046 0.5046 0.5000  4 Sb 2.97-3.07, 4 Sc 3.00
Hf 0.6705 0.6705 0.0000  5 Sb 3.06-3.18, 4 Sc 3.42
Sb 0.1330 0.1330 0.0000  4 Sc 2.97, 1 Sm 3.02, 4 Hf 3.06
Sm 0.3201 0.3201 0.0000  5 Sb 3.02-3.10
Sb 0.8672 0.8672 0.0000  4 Sc 3.07, 4 Sm 3.10, 1 Hf 3.18

***

# 8
LaCuGe2Pt: optimized geometry, GGA-PBE.

The space group is No. 11. The uncorrected energy is -55.67 eV for the cell shown. The spin magnetization comes out at 0.00 μB per formula unit.

a = 4.3381 Å, b = 4.3366 Å, c = 10.2419 Å
α = 90.00°, β = 90.00°, γ = 90.00°
With the nearest neighbours (Å) after each atom.
Fractional coordinates of all 10 atoms:
Ge 0.7437 0.2500 0.8751  4 Cu 2.51-2.52, 1 Pt 2.52
Ge 0.2563 0.7500 0.1249  4 Cu 2.51-2.52, 1 Pt 2.52
La 0.2488 0.7500 0.7568  4 Cu 3.28-3.33, 8 Ge 3.28-3.41, 4 Pt 3.33-3.34
Pt 0.7499 0.2500 0.6292  5 Ge 2.52-2.54
Pt 0.2501 0.7500 0.3708  5 Ge 2.52-2.54
Cu 0.7577 0.7500 0.0000  4 Ge 2.51-2.52
La 0.7512 0.2500 0.2432  4 Cu 3.28-3.33, 8 Ge 3.28-3.41, 4 Pt 3.33-3.34
Cu 0.2423 0.2500 0.0000  4 Ge 2.51-2.52
Ge 0.7494 0.7500 0.4998  4 Pt 2.54
Ge 0.2506 0.2500 0.5002  4 Pt 2.54

***

# 9
AcPaTe: optimized geometry, GGA-PBE.

The space group is No. 216. The energy above the lowest structure with this stoichiometry is 0 meV/atom. The uncorrected energy is -16.53 eV for the cell shown. The spin magnetization comes out at 2.61 μB per formula unit.

a = 5.3311 Å, b = 5.3311 Å, c = 5.3311 Å
α = 60.00°, β = 60.00°, γ = 60.00°
With the nearest neighbours (Å) after each atom.
Fractional coordinates of all 3 atoms:
Ac 0.2500 0.2500 0.2500  4 Te 3.26
Te 0.0000 0.0000 0.0000  4 Ac 3.26, 4 Pa 3.26
Pa 0.7500 0.7500 0.7500  4 Te 3.26

***

# 10
CoOs: optimized geometry, GGA-PBE.

The space group is No. 166. The calculation puts the formation energy at 189 meV/atom. The uncorrected energy is -17.95 eV for the cell shown. The spin magnetization comes out at 0.92 μB per formula unit.

a = 4.4497 Å, b = 4.4497 Å, c = 4.4497 Å
α = 34.52°, β = 34.52°, γ = 34.52°
With the nearest neighbours (Å) after each atom.
Fractional coordinates of all 2 atoms:
Co 0.0000 0.0000 0.0000  6 Os 2.59, 6 Co 2.64
Os 0.5000 0.5000 0.5000  6 Co 2.59, 6 Os 2.64

***

# 11
ZrAl2S5: optimized geometry, GGA-PBE.

The space group is No. 123. The uncorrected energy is -36.80 eV for the cell shown. The spin magnetization comes out at 0.00 μB per formula unit.

a = 6.0689 Å, b = 6.0689 Å, c = 4.9835 Å
α = 90.00°, β = 90.00°, γ = 90.00°
With the nearest neighbours (Å) after each atom.
Fractional coordinates of all 8 atoms:
S 0.2917 0.7083 0.0000  1 Zr 2.50, 2 S 2.53
S 0.7083 0.2917 0.0000  1 Zr 2.50, 2 S 2.53
Al 0.5000 0.0000 0.5000  10 S 3.03-3.31
Al 0.0000 0.5000 0.5000  10 S 3.03-3.31
Zr 0.0000 0.0000 0.0000  6 S 2.49-2.50
S 0.0000 0.0000 0.5000  2 Zr 2.49
S 0.2917 0.2917 0.0000  1 Zr 2.50, 2 S 2.53
S 0.7083 0.7083 0.0000  1 Zr 2.50, 2 S 2.53

***

# 12
Pr2Sm2CI2BrCl2: optimized geometry, GGA-PBE.

The space group is No. 12. The uncorrected energy is -50.78 eV for the cell shown. The spin magnetization comes out at 0.12 μB per formula unit.

a = 9.6239 Å, b = 9.6239 Å, c = 8.4604 Å
α = 100.67°, β = 100.67°, γ = 23.93°
With the nearest neighbours (Å) after each atom.
Fractional coordinates of all 10 atoms:
C 0.5000 0.5000 0.0000  2 Sm 2.49, 4 Pr 2.66
Pr 0.0015 0.0015 0.7931  2 C 2.66, 1 Cl 2.87
Sm 0.6345 0.6345 0.0678  1 C 2.49
Sm 0.3655 0.3655 0.9322  1 C 2.49
Br 0.5000 0.5000 0.5000  4 Pr 3.18
I 0.1757 0.1757 0.8087  3 Sm 3.17-3.53, 1 Pr 3.26
Cl 0.1531 0.1531 0.3044  2 Sm 2.80, 1 Pr 2.87
Cl 0.8469 0.8469 0.6956  2 Sm 2.80, 1 Pr 2.87
Pr 0.9985 0.9985 0.2069  2 C 2.66, 1 Cl 2.87
I 0.8243 0.8243 0.1913  3 Sm 3.17-3.53, 1 Pr 3.26